Here is a relaxed Rb3BPd crystal from Alexandria. Energies are from PBE.

a = 6.123 Å, b = 6.123 Å, c = 6.123 Å
α = 90.00°, β = 90.00°, γ = 90.00°
Positions (direct):
B1 0.000 0.000 0.000
Rb1 0.000 0.500 0.000
Rb2 0.000 0.000 0.500
Rb3 0.500 0.000 0.000
Pd1 0.500 0.500 0.500

Summary:
The space group is No. 221. Its calculated formation energy is 1038 meV/atom. The polymorph energy (0 for the lowest one) comes out at 0.0 meV per atom.

Here is a relaxed Rb2B2Pd crystal from Alexandria. Energies are from PBE.

a = 4.652 Å, b = 4.652 Å, c = 6.655 Å
α = 69.54°, β = 69.54°, γ = 90.00°
Positions (direct):
B1 0.432 0.432 0.136
B2 0.568 0.568 0.864
Rb1 0.750 0.250 0.500
Rb2 0.250 0.750 0.500
Pd1 0.000 0.000 0.000

Summary:
The space group is No. 139. Its calculated formation energy is 1292 meV/atom. The polymorph energy (0 for the lowest one) comes out at 458.0 meV per atom.

Here is a relaxed RbBPd crystal from Alexandria. Energies are from PBE.

a = 4.442 Å, b = 4.442 Å, c = 6.170 Å
α = 77.73°, β = 77.73°, γ = 79.68°
Positions (direct):
Pd1 0.715 0.715 0.312
Pd2 0.315 0.315 0.311
B1 0.865 0.176 0.291
B2 0.176 0.865 0.291
Rb1 0.639 0.139 0.802
Rb2 0.139 0.639 0.802

Summary:
The space group is No. 8. Its calculated formation energy is 248 meV/atom.

Here is a relaxed Rb2B2Pd crystal from Alexandria. Energies are from PBE.

a = 6.081 Å, b = 6.081 Å, c = 5.389 Å
α = 90.00°, β = 90.00°, γ = 90.00°
Positions (direct):
B1 0.405 0.905 0.000
B2 0.905 0.595 0.000
B3 0.595 0.095 0.000
B4 0.095 0.405 0.000
Rb1 0.196 0.696 0.500
Rb2 0.696 0.804 0.500
Rb3 0.804 0.304 0.500
Rb4 0.304 0.196 0.500
Pd1 0.000 0.000 0.000
Pd2 0.500 0.500 0.000

Summary:
The space group is No. 127. Its calculated formation energy is 834 meV/atom. The polymorph energy (0 for the lowest one) comes out at 0.0 meV per atom.

Here is a relaxed RbBPdRh2 crystal from Alexandria. Energies are from PBE.

a = 4.861 Å, b = 4.861 Å, c = 5.825 Å
α = 90.00°, β = 90.00°, γ = 90.00°
Positions (direct):
B1 0.500 0.500 0.500
Rh1 0.000 0.500 0.000
Rh2 0.500 0.000 0.000
Rb1 0.000 0.000 0.500
Pd1 0.000 0.000 0.000

Summary:
The space group is No. 123. Its calculated formation energy is 2043 meV/atom.

Here is a relaxed Rb2B2PdS6 crystal from Alexandria. Energies are from PBE.

a = 6.456 Å, b = 6.456 Å, c = 8.246 Å
α = 66.96°, β = 66.96°, γ = 60.00°
Positions (direct):
Rb1 0.787 0.787 0.638
Rb2 0.213 0.213 0.362
B1 0.393 0.393 0.821
B2 0.607 0.607 0.179
Pd1 0.000 0.000 0.000
S1 0.756 0.756 0.215
S2 0.272 0.756 0.215
S3 0.756 0.272 0.215
S4 0.244 0.728 0.785
S5 0.728 0.244 0.785
S6 0.244 0.244 0.785

Summary:
The space group is No. 166.

Here is a relaxed Rb2BPdSe4 crystal from Alexandria. Energies are from PBE.

a = 6.719 Å, b = 7.300 Å, c = 11.300 Å
α = 82.14°, β = 72.70°, γ = 62.60°
Positions (direct):
Rb1 0.182 0.000 0.636
Rb2 0.818 0.000 0.364
Rb3 0.568 0.500 0.864
Rb4 0.932 0.500 0.136
B1 0.250 0.500 0.500
B2 0.500 0.000 0.000
Pd1 0.750 0.500 0.500
Pd2 0.000 0.000 0.000
Se1 0.313 0.848 0.109
Se2 0.271 0.152 0.891
Se3 0.839 0.848 0.891
Se4 0.578 0.152 0.109
Se5 0.437 0.652 0.391
Se6 0.479 0.348 0.609
Se7 0.911 0.652 0.609
Se8 0.172 0.348 0.391

Summary:
The space group is No. 70.

Here is a relaxed RbTiBPd2 crystal from Alexandria. Energies are from PBE.

a = 4.961 Å, b = 4.548 Å, c = 4.961 Å
α = 90.00°, β = 90.00°, γ = 90.00°
Positions (direct):
B1 0.000 0.500 0.000
Rb1 0.500 0.500 0.500
Pd1 0.000 0.000 0.500
Pd2 0.500 0.000 0.000
Ti1 0.000 0.000 0.000

Summary:
The space group is No. 123. Its calculated formation energy is 801 meV/atom.

Listing M_tot for the structures above in their given order: 0.400; 0.167; 0.000; 0.000; 0.323; 0.000; 0.000; 0.000 μB per atom.
Listing energy for the structures above in their given order: -1.92; -2.80; -4.03; -3.26; -3.47; -4.56; -4.04; -4.38 eV per atom.